[1]
Here is a relaxed structure of Ac2AlPd4 from Alexandria. Energies are from PBE-GGA.

E_form = -0.6394 eV/atom

Lattice parameters (Å, degrees): 4.720 4.720 15.647 90.00 90.00 90.00
Space group I4/mmm (No. 139)
Inequivalent atoms, fractional coordinates:
Ac  0.000  0.000  0.146
Al  0.000  0.000  0.500
Pd  0.000  0.000  0.345
Pd  0.000  0.500  0.000

---

[2]
Here is a relaxed structure of PmPr3Tm2Te6 from Alexandria. Energies are from PBE-GGA.

Calculated total energy = -126.2 eV for the cell shown

Lattice parameters (Å, degrees): 19.534 4.380 9.025 90.00 104.98 90.00
Space group C2/m (No. 12)
Inequivalent atoms, fractional coordinates:
Pm  0.000  0.000  0.000
Pr  0.000  0.000  0.500
Pr  0.160  0.500  0.830
Tm  0.165  0.500  0.328
Te  0.007  0.500  0.250
Te  0.169  0.000  0.096
Te  0.172  0.000  0.571

---

[3]
Here is a relaxed structure of Y4P3Se from Alexandria. Energies are from PBE-GGA.

Calculated total energy = -118.7 eV for the cell shown

Lattice parameters (Å, degrees): 5.700 5.700 11.400 90.00 90.00 90.00
Space group I4/mmm (No. 139)
Inequivalent atoms, fractional coordinates:
Y  0.000  0.000  0.243
Y  0.000  0.500  0.000
P  0.000  0.000  0.000
P  0.000  0.500  0.250
Se  0.000  0.000  0.500

---

[4]
Here is a relaxed structure of TlNiAu2 from Alexandria. Energies are from PBE-GGA.

E_form = 0.2175 eV/atom

Lattice parameters (Å, degrees): 3.568 4.292 5.246 90.00 106.97 90.00
Space group P2/m (No. 10)
Inequivalent atoms, fractional coordinates:
Tl  0.000  0.000  0.000
Ni  0.500  0.000  0.500
Au  0.323  0.500  0.721

---

[5]
Here is a relaxed structure of Nd6HoPb from Alexandria. Energies are from PBE-GGA.

E_form = -0.1454 eV/atom

Lattice parameters (Å, degrees): 5.030 5.030 10.391 90.00 90.00 90.00
Space group P4/mmm (No. 123)
Inequivalent atoms, fractional coordinates:
Nd  0.000  0.000  0.000
Nd  0.000  0.000  0.500
Nd  0.000  0.500  0.245
Ho  0.500  0.500  0.500
Pb  0.500  0.500  0.000

---

[6]
Here is a relaxed structure of ZrRh2O2 from Alexandria. Energies are from PBE-GGA.

Calculated total energy = -67.6 eV for the cell shown

Lattice parameters (Å, degrees): 3.598 3.598 10.111 90.00 90.00 90.00
Space group I4/mmm (No. 139)
Inequivalent atoms, fractional coordinates:
Zr  0.000  0.000  0.000
Rh  0.000  0.500  0.250
O  0.000  0.000  0.395

---

[7]
Here is a relaxed structure of ReWCl3 from Alexandria. Energies are from PBE-GGA.

Calculated total energy = -23.6 eV for the cell shown

Lattice parameters (Å, degrees): 4.832 4.832 4.832 90.00 90.00 90.00
Space group Pm-3m (No. 221)
Inequivalent atoms, fractional coordinates:
Re  0.000  0.000  0.000
W  0.500  0.500  0.500
Cl  0.000  0.000  0.500

---

[8]
Here is a relaxed structure of CeAl12Ni6 from Alexandria. Energies are from PBE-GGA.

E_form = -0.4619 eV/atom

Lattice parameters (Å, degrees): 10.9703 10.9703 8.3690 90.00 90.00 120.00
Space group R-3m (No. 166, hexagonal axes)
Inequivalent atoms, fractional coordinates:
Ce  0.0000  0.0000  0.0000
Al  0.0000  0.3811  0.5000
Al  0.0861  0.1722  0.3303
Ni  0.0482  0.5241  0.2525

---

[9]
Here is a relaxed structure of Ga2HgPb from Alexandria. Energies are from PBE-GGA.

E_form = 0.1299 eV/atom

Lattice parameters (Å, degrees): 8.027 8.027 6.230 90.00 90.00 90.00
Space group I-42d (No. 122)
Inequivalent atoms, fractional coordinates:
Ga  0.230  0.250  0.125
Hg  0.000  0.000  0.000
Pb  0.000  0.000  0.500

---

[10]
Here is a relaxed structure of LiTmTiTc from Alexandria. Energies are from PBE-GGA.

E_form = -0.0622 eV/atom

Lattice parameters (Å, degrees): 6.538 6.538 6.538 90.00 90.00 90.00
Space group F-43m (No. 216)
Inequivalent atoms, fractional coordinates:
Li  0.000  0.000  0.000
Tm  0.250  0.250  0.250
Ti  0.250  0.250  0.750
Tc  0.000  0.000  0.500

---

[11]
Here is a relaxed structure of AsBr2Cl from Alexandria. Energies are from PBE-GGA.

Calculated total energy = -11.7 eV for the cell shown

Lattice parameters (Å, degrees): 6.950 3.791 6.969 90.00 113.17 90.00
Space group Pm (No. 6)
Inequivalent atoms, fractional coordinates:
As  0.000  0.000  0.000
Br  0.743  0.500  0.756
Br  0.859  0.000  0.254
Cl  0.263  0.500  0.165

---

[12]
Here is a relaxed structure of Ho2ScHg4 from Alexandria. Energies are from PBE-GGA.

E_form = -0.3251 eV/atom

Lattice parameters (Å, degrees): 4.9708 4.9708 25.7890 90.00 90.00 120.00
Space group R-3m (No. 166, hexagonal axes)
Inequivalent atoms, fractional coordinates:
Ho  0.0000  0.0000  0.2463
Sc  0.0000  0.0000  0.0000
Hg  0.0000  0.0000  0.1274
Hg  0.0000  0.0000  0.3710